## Li5TmAg8 (GGA-PBE)

Data for a relaxed Li5TmAg8 crystal.

CIF file:
```
data_Li5TmAg8
_space_group_name_H-M_alt 'P 1'
_space_group_IT_number 1
_cell_length_a 6.956
_cell_length_b 6.956
_cell_length_c 6.956
_cell_angle_alpha 109.86
_cell_angle_beta 109.86
_cell_angle_gamma 108.69
loop_
_space_group_symop_operation_xyz
'x,y,z'
loop_
_atom_site_label
_atom_site_type_symbol
_atom_site_fract_x
_atom_site_fract_y
_atom_site_fract_z
Li1 Li 0.000 0.000 0.000
Li2 Li 0.198 0.286 0.649
Li3 Li 0.451 0.802 0.088
Li4 Li 0.637 0.549 0.351
Li5 Li 0.714 0.363 0.912
Tm1 Tm 0.250 0.750 0.500
Ag1 Ag 0.155 0.406 0.050
Ag2 Ag 0.356 0.105 0.950
Ag3 Ag 0.426 0.166 0.411
Ag4 Ag 0.594 0.644 0.749
Ag5 Ag 0.754 0.015 0.589
Ag6 Ag 0.834 0.246 0.261
Ag7 Ag 0.895 0.845 0.251
Ag8 Ag 0.985 0.574 0.739
```

Values from the calculation:
The volume is 259.0 Å³/cell. As for the density of states at the Fermi level: 4.739 states/eV per cell. The calculation puts the calculated formation energy at -0.10 eV per atom. Its space-group type is No. 82.